Below is LiMoP2O7 at its PBEsol-relaxed geometry, with properties calculated at the SCAN level.

Geometry as extended XYZ:
```
44
Lattice="7.0146 0.0000 0.0000 0.0000 8.4371 0.0000 -3.5789 0.0000 9.1915" Properties=species:S:1:pos:R:3 pbc="T T T"
Li 0.2774 1.2174 2.3457
Li -1.5121 3.0011 6.9415
Li 4.9478 5.4360 2.2500
Li 3.1583 7.2197 6.8458
Mo -1.1321 0.0129 6.8809
Mo 0.6574 4.2057 2.2852
Mo 2.7783 4.2314 6.9063
Mo 4.5677 8.4242 2.3106
P -1.9052 5.7385 8.6575
P -0.1157 6.9171 4.0618
P 2.4928 1.7915 0.5314
P 0.7033 2.4271 5.1272
P 2.7323 6.0100 4.0643
P 0.9429 6.6456 8.6601
P 3.5514 1.5200 5.1298
P 5.3409 2.6985 0.5340
O -2.3277 4.5514 7.7772
O -0.5383 8.1042 3.1815
O -0.4506 5.5765 3.3960
O -2.2400 7.0791 7.9918
O 1.1481 5.6577 0.8812
O -0.6414 6.9979 5.4769
O -1.5004 1.5426 8.2731
O 0.2890 2.6759 3.6774
O -0.3995 1.6709 5.8570
O 1.3899 2.5477 1.2613
O -0.2987 5.6219 8.6901
O 1.4908 7.0337 4.0944
O 2.8542 0.5118 1.2726
O 1.0648 3.7067 5.8684
O 2.3709 4.7303 3.3231
O 0.5815 7.9253 7.9189
O 1.9449 1.4034 5.0972
O 3.7344 2.8152 0.5014
O 2.0457 5.8894 7.9303
O 3.8352 6.7662 3.3345
O 3.1467 5.7611 5.5142
O 4.9361 6.8945 0.9184
O 4.0770 1.4392 3.7146
O 2.2876 2.7793 8.3103
O 5.6757 1.3579 1.1997
O 3.8863 2.8606 5.7955
O 3.9740 0.3329 6.0101
O 5.7634 3.8856 1.4143
```

D(E_F): 0.000 states/eV/f.u.
Volume: 136 Å³/f.u.
Raw formation energy: -2.35 eV per atom
Space group: P2_1/c